An optimized crystal structure of CdCoSeO. Source: OQMD, functional GGA+U.

Values from the calculation:
Energy relative to the lowest polymorph listed for this composition: 0.00 kcal/mol of atoms
ρ: 6.15 g/cm³
Symmetry: Cmc2_1 (36)
Crystal system: orthorhombic
Calculated total energy: -4.2753 eV per atom

Cell: 6.828 6.828 5.819 Å, 90.00 90.00 147.98°
Sites, in units of the cell vectors:
Cd 0.164 0.836 0.500
Cd 0.836 0.164 0.000
Co 0.444 0.556 0.592
Co 0.556 0.444 0.092
Se 0.166 0.834 0.967
Se 0.834 0.166 0.467
O 0.430 0.570 0.927
O 0.570 0.430 0.427